1.
This record from Alexandria via LeMat-Bulk describes an optimized crystal structure of ZrPt2Cl. The functional is PBE.

Results
Energy relative to the elements, uncorrected   -0.443 eV per atom
SG   No. 139
Mass density   12.2 g/cm³
DFT total energy   -6.062 eV per atom
Energy above the most stable polymorph in this dataset   0.219 eV per atom

a = 5.349 Å, b = 5.349 Å, c = 5.349 Å
α = 137.08°, β = 137.08°, γ = 62.32°
Atoms (fractional coordinates):
Pt  0.000  0.000  0.000
Pt  0.500  0.500  0.000
Zr  0.250  0.750  0.500
Cl  0.750  0.250  0.500

***

2.
This record from Alexandria via LeMat-Bulk describes an optimized crystal structure of Li12Sb3Br5. The functional is PBE.

Results
Energy relative to the elements, uncorrected   -0.926 eV per atom
SG   No. 230
Mass density   2.9 g/cm³
DFT total energy   -3.111 eV per atom

a = 13.543 Å, b = 13.543 Å, c = 13.543 Å
α = 109.47°, β = 109.47°, γ = 109.47°
Atoms (fractional coordinates):
Li  0.225  0.554  0.636
Li  0.081  0.171  0.446
Li  0.364  0.419  0.090
Li  0.410  0.275  0.329
Li  0.725  0.590  0.171
Li  0.054  0.636  0.725
Li  0.775  0.446  0.364
Li  0.946  0.581  0.171
Li  0.329  0.554  0.419
Li  0.446  0.671  0.081
Li  0.225  0.671  0.090
Li  0.446  0.775  0.864
Li  0.419  0.054  0.329
Li  0.364  0.946  0.775
Li  0.864  0.275  0.446
Li  0.829  0.910  0.275
Li  0.581  0.946  0.671
Li  0.275  0.864  0.946
Li  0.136  0.410  0.081
Li  0.554  0.329  0.919
Li  0.090  0.919  0.364
Li  0.946  0.364  0.275
Li  0.054  0.419  0.829
Li  0.275  0.410  0.829
Li  0.671  0.225  0.590
Li  0.775  0.329  0.910
Li  0.671  0.446  0.581
Li  0.829  0.919  0.054
Li  0.864  0.590  0.919
Li  0.171  0.090  0.725
Li  0.090  0.171  0.225
Li  0.636  0.581  0.910
Li  0.410  0.136  0.581
Li  0.171  0.081  0.946
Li  0.329  0.775  0.410
Li  0.636  0.054  0.225
Li  0.910  0.829  0.775
Li  0.590  0.864  0.419
Li  0.590  0.725  0.671
Li  0.081  0.910  0.136
Li  0.725  0.136  0.054
Li  0.554  0.225  0.136
Li  0.919  0.829  0.554
Li  0.136  0.725  0.554
Li  0.581  0.636  0.410
Li  0.919  0.090  0.864
Li  0.910  0.081  0.636
Li  0.419  0.364  0.590
Br  0.875  0.250  0.625
Br  0.500  0.500  0.500
Br  0.750  0.125  0.875
Br  0.250  0.875  0.125
Br  0.000  0.000  0.000
Br  0.750  0.625  0.375
Br  0.125  0.750  0.375
Br  0.500  0.000  0.500
Br  0.000  0.500  0.500
Br  0.375  0.125  0.750
Br  0.625  0.750  0.875
Br  0.125  0.375  0.250
Br  0.375  0.250  0.125
Br  0.000  0.000  0.500
Br  0.875  0.625  0.750
Br  0.000  0.500  0.000
Br  0.250  0.375  0.625
Br  0.500  0.500  0.000
Br  0.625  0.875  0.250
Br  0.500  0.000  0.000
Sb  0.750  0.375  0.125
Sb  0.375  0.625  0.250
Sb  0.625  0.250  0.375
Sb  0.250  0.625  0.875
Sb  0.875  0.125  0.250
Sb  0.875  0.750  0.125
Sb  0.625  0.375  0.750
Sb  0.250  0.125  0.375
Sb  0.125  0.875  0.750
Sb  0.125  0.250  0.875
Sb  0.375  0.750  0.625
Sb  0.750  0.875  0.625

***

3.
This record from Alexandria via LeMat-Bulk describes an optimized crystal structure of KZn2Te. The functional is PBE.

Results
Energy relative to the elements, uncorrected   -0.002 eV per atom
SG   No. 123
Mass density   4.6 g/cm³
DFT total energy   -1.699 eV per atom

a = 4.639 Å, b = 4.639 Å, c = 4.987 Å
α = 90.00°, β = 90.00°, γ = 89.94°
Atoms (fractional coordinates):
K  0.500  0.000  0.500
Zn  0.000  0.000  0.000
Zn  0.500  0.500  0.000
Te  0.000  0.500  0.500

***

4.
This record from Alexandria via LeMat-Bulk describes an optimized crystal structure of Ac7Tl2N2. The functional is PBE.

Results
Energy relative to the elements, uncorrected   -0.440 eV per atom
SG   No. 12
Mass density   8.4 g/cm³
DFT total energy   -4.998 eV per atom

a = 7.539 Å, b = 7.211 Å, c = 7.539 Å
α = 91.21°, β = 79.46°, γ = 88.79°
Atoms (fractional coordinates):
Tl  0.140  0.500  0.140
Tl  0.860  0.500  0.860
Ac  0.491  0.212  0.844
Ac  0.320  0.699  0.680
Ac  0.680  0.301  0.320
Ac  0.509  0.788  0.156
Ac  0.156  0.212  0.509
Ac  0.000  0.000  0.000
Ac  0.844  0.788  0.491
N  0.264  0.027  0.736
N  0.736  0.973  0.264

***

5.
This record from Alexandria via LeMat-Bulk describes an optimized crystal structure of Y2Tl5I12. The functional is PBE.

Results
Energy relative to the elements, uncorrected   -0.893 eV per atom
SG   No. 12
Mass density   5.1 g/cm³
DFT total energy   -3.175 eV per atom

a = 8.883 Å, b = 10.520 Å, c = 11.106 Å
α = 107.88°, β = 90.00°, γ = 114.97°
Atoms (fractional coordinates):
I  0.381  0.260  0.558
I  0.508  0.015  0.200
I  0.427  0.332  0.087
I  0.095  0.668  0.913
I  0.573  0.668  0.913
I  0.879  0.260  0.558
I  0.905  0.332  0.087
I  0.121  0.740  0.442
I  0.004  0.007  0.190
I  0.492  0.985  0.800
I  0.619  0.740  0.442
I  0.996  0.993  0.810
Tl  0.720  0.441  0.371
Tl  0.280  0.559  0.629
Tl  0.000  0.000  0.500
Tl  0.317  0.634  0.177
Tl  0.683  0.366  0.823
Y  0.747  0.000  0.000
Y  0.253  0.000  0.000

***

6.
This record from Alexandria via LeMat-Bulk describes an optimized crystal structure of Y2Fe2P2C. The functional is PBE.

Results
SG   No. 12
Mass density   5.7 g/cm³
Formation energy   -0.911 eV per atom
DFT total energy   -8.039 eV per atom

a = 3.776 Å, b = 5.579 Å, c = 5.782 Å
α = 70.72°, β = 70.94°, γ = 70.22°
Atoms (fractional coordinates):
P  0.180  0.364  0.277
P  0.820  0.636  0.723
Fe  0.805  0.311  0.079
Fe  0.195  0.689  0.921
Y  0.438  0.818  0.306
Y  0.562  0.182  0.694
C  0.000  0.000  0.000

***

> What is the mass density in the fourth record?

8.4 g/cm³